Compound: Ho4PSeS2
Source: Alexandria
Functional: PBE-GGA
Structure: optimized geometry

Values from the calculation:
E_tot = -50.41 eV/cell
symmetry = No. 10

Cell lengths 6.810, 3.943, 6.911 Å; angles 90.00, 109.23, 90.00 degrees
Sites, in units of the cell vectors:
Ho (0.241, 0.000, 0.231)
Ho (0.252, 0.500, 0.765)
Ho (0.748, 0.500, 0.235)
Ho (0.759, 0.000, 0.769)
P (0.500, 0.000, 0.000)
Se (0.500, 0.500, 0.500)
S (0.000, 0.000, 0.500)
S (0.000, 0.500, 0.000)